(1)
# Pm2Si6Ir9, relaxed, DFT PBE
data_Pm2Si6Ir9
_chemical_formula_sum 'Pm2 Si6 Ir9'
_cell_length_a 5.6436
_cell_length_b 5.6436
_cell_length_c 10.8112
_cell_angle_alpha 90.00
_cell_angle_beta 90.00
_cell_angle_gamma 120.00
_symmetry_space_group_name_H-M 'P 6/m m m'
_symmetry_Int_Tables_number 191
_symmetry_space_group_name_Hall '-P 6 2'
loop_
_atom_site_label
_atom_site_type_symbol
_atom_site_fract_x
_atom_site_fract_y
_atom_site_fract_z
_atom_site_occupancy
Pm1 Pm 0.0000 0.0000 0.1921 1
Si1 Si 0.3333 0.6667 0.1662 1
Si2 Si 0.3333 0.6667 0.5000 1
Ir1 Ir 0.0000 0.5000 0.0000 1
Ir2 Ir 0.0000 0.5000 0.3332 1
# M_tot: 0.000 μB/cell
# Raw total energy: -7.8646 eV per atom
# Fermi-level density of states: 4.9 states/eV per cell

(2)
# Pm2Sm2SiIr4, relaxed, DFT PBE
data_Pm2Sm2SiIr4
_chemical_formula_sum 'Pm4 Sm4 Si2 Ir8'
_cell_length_a 6.493
_cell_length_b 6.493
_cell_length_c 9.181
_cell_angle_alpha 90.00
_cell_angle_beta 90.00
_cell_angle_gamma 90.00
_symmetry_space_group_name_H-M 'I 4/m m m'
_symmetry_Int_Tables_number 139
_symmetry_space_group_name_Hall '-I 4 2'
loop_
_atom_site_label
_atom_site_type_symbol
_atom_site_fract_x
_atom_site_fract_y
_atom_site_fract_z
_atom_site_occupancy
Pm1 Pm 0.000 0.000 0.190 1
Sm1 Sm 0.000 0.500 0.250 1
Si1 Si 0.000 0.000 0.500 1
Ir1 Ir 0.247 0.247 0.000 1
# M_tot: 0.000 μB/cell
# Raw total energy: -7.0550 eV per atom
# Fermi-level density of states: 10.4 states/eV per cell

(3)
# PmSi2SnIr5, relaxed, DFT PBE
data_PmSi2SnIr5
_chemical_formula_sum 'Pm1 Si2 Sn1 Ir5'
_cell_length_a 4.065
_cell_length_b 4.065
_cell_length_c 10.576
_cell_angle_alpha 90.00
_cell_angle_beta 90.00
_cell_angle_gamma 90.00
_symmetry_space_group_name_H-M 'P 4/m m m'
_symmetry_Int_Tables_number 123
_symmetry_space_group_name_Hall '-P 4 2'
loop_
_atom_site_label
_atom_site_type_symbol
_atom_site_fract_x
_atom_site_fract_y
_atom_site_fract_z
_atom_site_occupancy
Pm1 Pm 0.000 0.000 0.000 1
Si1 Si 0.500 0.500 0.220 1
Sn1 Sn 0.000 0.000 0.500 1
Ir1 Ir 0.000 0.500 0.331 1
Ir2 Ir 0.500 0.500 0.000 1
# M_tot: 0.000 μB/cell
# Raw total energy: -7.4677 eV per atom
# Fermi-level density of states: 4.0 states/eV per cell

(4)
# Tb2Pm2Si4Ir, relaxed, DFT PBE
data_Tb2Pm2Si4Ir
_chemical_formula_sum 'Tb4 Pm4 Si8 Ir2'
_cell_length_a 6.905
_cell_length_b 6.905
_cell_length_c 8.589
_cell_angle_alpha 90.00
_cell_angle_beta 90.00
_cell_angle_gamma 90.00
_symmetry_space_group_name_H-M 'I 4/m m m'
_symmetry_Int_Tables_number 139
_symmetry_space_group_name_Hall '-I 4 2'
loop_
_atom_site_label
_atom_site_type_symbol
_atom_site_fract_x
_atom_site_fract_y
_atom_site_fract_z
_atom_site_occupancy
Tb1 Tb 0.000 0.000 0.186 1
Pm1 Pm 0.000 0.500 0.250 1
Si1 Si 0.246 0.246 0.500 1
Ir1 Ir 0.000 0.000 0.500 1
# M_tot: 0.000 μB/cell
# Raw total energy: -5.8900 eV per atom
# Fermi-level density of states: 17.0 states/eV per cell

(5)
# PmSi2TcIr, relaxed, DFT PBE
data_PmSi2TcIr
_chemical_formula_sum 'Pm2 Si4 Tc2 Ir2'
_cell_length_a 4.227
_cell_length_b 4.227
_cell_length_c 9.798
_cell_angle_alpha 90.00
_cell_angle_beta 90.00
_cell_angle_gamma 90.00
_symmetry_space_group_name_H-M 'I -4 m 2'
_symmetry_Int_Tables_number 119
_symmetry_space_group_name_Hall 'I -4 -2'
loop_
_atom_site_label
_atom_site_type_symbol
_atom_site_fract_x
_atom_site_fract_y
_atom_site_fract_z
_atom_site_occupancy
Pm1 Pm 0.000 0.000 0.000 1
Si1 Si 0.000 0.000 0.369 1
Tc1 Tc 0.000 0.500 0.250 1
Ir1 Ir 0.000 0.500 0.750 1
# M_tot: 0.000 μB/cell
# Raw total energy: -7.8495 eV per atom
# Fermi-level density of states: 5.4 states/eV per cell

(6)
# Pm2Si3TcIr4, relaxed, DFT PBE
data_Pm2Si3TcIr4
_chemical_formula_sum 'Pm2 Si3 Tc1 Ir4'
_cell_length_a 4.164
_cell_length_b 4.164
_cell_length_c 10.146
_cell_angle_alpha 90.00
_cell_angle_beta 90.00
_cell_angle_gamma 90.00
_symmetry_space_group_name_H-M 'P -4 m 2'
_symmetry_Int_Tables_number 115
_symmetry_space_group_name_Hall 'P -4 -2'
loop_
_atom_site_label
_atom_site_type_symbol
_atom_site_fract_x
_atom_site_fract_y
_atom_site_fract_z
_atom_site_occupancy
Pm1 Pm 0.000 0.500 0.246 1
Si1 Si 0.000 0.500 0.872 1
Si2 Si 0.500 0.500 0.500 1
Tc1 Tc 0.000 0.000 0.500 1
Ir1 Ir 0.000 0.000 0.000 1
Ir2 Ir 0.000 0.500 0.634 1
Ir3 Ir 0.500 0.500 0.000 1
# M_tot: 0.000 μB/cell
# Raw total energy: -8.0286 eV per atom
# Fermi-level density of states: 6.2 states/eV per cell

(7)
# PmSi3TcIr, relaxed, DFT PBE
data_PmSi3TcIr
_chemical_formula_sum 'Pm4 Si12 Tc4 Ir4'
_cell_length_a 7.576
_cell_length_b 11.334
_cell_length_c 5.549
_cell_angle_alpha 90.00
_cell_angle_beta 90.00
_cell_angle_gamma 90.00
_symmetry_space_group_name_H-M 'C m c m'
_symmetry_Int_Tables_number 63
_symmetry_space_group_name_Hall '-C 2c 2'
loop_
_atom_site_label
_atom_site_type_symbol
_atom_site_fract_x
_atom_site_fract_y
_atom_site_fract_z
_atom_site_occupancy
Pm1 Pm 0.000 0.244 0.250 1
Si1 Si 0.000 0.250 0.750 1
Si2 Si 0.248 0.500 0.000 1
Tc1 Tc 0.000 0.446 0.750 1
Ir1 Ir 0.000 0.055 0.750 1
# M_tot: 0.000 μB/cell
# Raw total energy: -7.1527 eV per atom
# Fermi-level density of states: 12.7 states/eV per cell

(8)
# Pm2Si4TcIr3, relaxed, DFT PBE
data_Pm2Si4TcIr3
_chemical_formula_sum 'Pm2 Si4 Tc1 Ir3'
_cell_length_a 4.247
_cell_length_b 4.247
_cell_length_c 9.682
_cell_angle_alpha 90.00
_cell_angle_beta 90.00
_cell_angle_gamma 90.00
_symmetry_space_group_name_H-M 'P -4 m 2'
_symmetry_Int_Tables_number 115
_symmetry_space_group_name_Hall 'P -4 -2'
loop_
_atom_site_label
_atom_site_type_symbol
_atom_site_fract_x
_atom_site_fract_y
_atom_site_fract_z
_atom_site_occupancy
Pm1 Pm 0.000 0.500 0.250 1
Si1 Si 0.000 0.000 0.000 1
Si2 Si 0.000 0.500 0.623 1
Si3 Si 0.500 0.500 0.000 1
Tc1 Tc 0.000 0.000 0.500 1
Ir1 Ir 0.000 0.500 0.876 1
Ir2 Ir 0.500 0.500 0.500 1
# M_tot: 0.000 μB/cell
# Raw total energy: -7.7507 eV per atom
# Fermi-level density of states: 6.6 states/eV per cell

(9)
# PmTh2Si2Ir7, relaxed, DFT PBE
data_PmTh2Si2Ir7
_chemical_formula_sum 'Pm2 Th4 Si4 Ir14'
_cell_length_a 5.851
_cell_length_b 5.796
_cell_length_c 13.326
_cell_angle_alpha 90.00
_cell_angle_beta 97.75
_cell_angle_gamma 90.00
_symmetry_space_group_name_H-M 'C 1 2/m 1'
_symmetry_Int_Tables_number 12
_symmetry_space_group_name_Hall '-C 2y'
loop_
_atom_site_label
_atom_site_type_symbol
_atom_site_fract_x
_atom_site_fract_y
_atom_site_fract_z
_atom_site_occupancy
Pm1 Pm 0.000 0.000 0.000 1
Th1 Th 0.097 0.000 0.347 1
Si1 Si 0.077 0.500 0.253 1
Ir1 Ir 0.000 0.500 0.000 1
Ir2 Ir 0.133 0.500 0.430 1
Ir3 Ir 0.200 0.251 0.837 1
# M_tot: 0.000 μB/cell
# Raw total energy: -8.4548 eV per atom
# Fermi-level density of states: 14.4 states/eV per cell

(10)
# Pm2Th2SiIr4, relaxed, DFT PBE
data_Pm2Th2SiIr4
_chemical_formula_sum 'Pm4 Th4 Si2 Ir8'
_cell_length_a 6.454
_cell_length_b 6.454
_cell_length_c 9.541
_cell_angle_alpha 90.00
_cell_angle_beta 90.00
_cell_angle_gamma 90.00
_symmetry_space_group_name_H-M 'I 4/m m m'
_symmetry_Int_Tables_number 139
_symmetry_space_group_name_Hall '-I 4 2'
loop_
_atom_site_label
_atom_site_type_symbol
_atom_site_fract_x
_atom_site_fract_y
_atom_site_fract_z
_atom_site_occupancy
Pm1 Pm 0.000 0.500 0.250 1
Th1 Th 0.000 0.000 0.190 1
Si1 Si 0.000 0.000 0.500 1
Ir1 Ir 0.241 0.241 0.000 1
# M_tot: 0.000 μB/cell
# Raw total energy: -7.6481 eV per atom
# Fermi-level density of states: 14.4 states/eV per cell

(11)
# Pm2TiSi4Ir3, relaxed, DFT PBE
data_Pm2TiSi4Ir3
_chemical_formula_sum 'Pm2 Ti1 Si4 Ir3'
_cell_length_a 4.139
_cell_length_b 4.139
_cell_length_c 10.374
_cell_angle_alpha 90.00
_cell_angle_beta 90.00
_cell_angle_gamma 90.00
_symmetry_space_group_name_H-M 'P -4 m 2'
_symmetry_Int_Tables_number 115
_symmetry_space_group_name_Hall 'P -4 -2'
loop_
_atom_site_label
_atom_site_type_symbol
_atom_site_fract_x
_atom_site_fract_y
_atom_site_fract_z
_atom_site_occupancy
Pm1 Pm 0.000 0.500 0.242 1
Ti1 Ti 0.000 0.000 0.500 1
Si1 Si 0.000 0.000 0.000 1
Si2 Si 0.000 0.500 0.644 1
Si3 Si 0.500 0.500 0.000 1
Ir1 Ir 0.000 0.500 0.879 1
Ir2 Ir 0.500 0.500 0.500 1
# M_tot: 0.000 μB/cell
# Raw total energy: -7.5038 eV per atom
# Fermi-level density of states: 8.1 states/eV per cell

(12)
# Pm2Tm2SiIr4, relaxed, DFT PBE
data_Pm2Tm2SiIr4
_chemical_formula_sum 'Pm4 Tm4 Si2 Ir8'
_cell_length_a 6.424
_cell_length_b 6.424
_cell_length_c 9.065
_cell_angle_alpha 90.00
_cell_angle_beta 90.00
_cell_angle_gamma 90.00
_symmetry_space_group_name_H-M 'I 4/m m m'
_symmetry_Int_Tables_number 139
_symmetry_space_group_name_Hall '-I 4 2'
loop_
_atom_site_label
_atom_site_type_symbol
_atom_site_fract_x
_atom_site_fract_y
_atom_site_fract_z
_atom_site_occupancy
Pm1 Pm 0.000 0.000 0.193 1
Tm1 Tm 0.000 0.500 0.250 1
Si1 Si 0.000 0.000 0.500 1
Ir1 Ir 0.247 0.247 0.000 1
# M_tot: 0.000 μB/cell
# Raw total energy: -7.0208 eV per atom
# Fermi-level density of states: 8.8 states/eV per cell

- What is the formula in the fourth record?
  Tb2Pm2Si4Ir